First-principles (PBE-GGA) data for crystalline NdYSiHg at its relaxed geometry, as listed in Alexandria.

abc: 7.358 7.358 7.358
angles: 90.00 90.00 90.00
Space group F-43m (No. 216)
Asymmetric unit:
1 Nd 0.000 0.000 0.000 x4
2 Y 0.000 0.000 0.500 x4
3 Si 0.250 0.250 0.750 x4
4 Hg 0.250 0.250 0.250 x4

Computed properties:
Formation energy from raw total energies = -0.472 eV/atom
N(E_F) = 0.81 states/eV/atom

First-principles (PBE-GGA) data for crystalline NdSm2Hg3 at its relaxed geometry, as listed in Alexandria.

abc: 3.811 3.811 11.427
angles: 90.00 90.00 90.00
Space group P4/mmm (No. 123)
Asymmetric unit:
1 Nd 0.000 0.000 0.000 x1
2 Sm 0.000 0.000 0.335 x2
3 Hg 0.500 0.500 0.171 x2
4 Hg 0.500 0.500 0.500 x1

Computed properties:
N(E_F) = 1.19 states/eV/atom
Energy of formation from the pure elements = -472 meV/atom

First-principles (PBE-GGA) data for crystalline NdSm5Hg2 at its relaxed geometry, as listed in Alexandria.

abc: 3.766 10.570 12.471
angles: 90.00 90.00 90.00
Space group Immm (No. 71)
Asymmetric unit:
1 Nd 0.000 0.000 0.000 x2
2 Sm 0.000 0.220 0.361 x8
3 Sm 0.000 0.500 0.000 x2
4 Hg 0.000 0.500 0.268 x4

Computed properties:
N(E_F) = 1.02 states/eV/atom
Energy of formation from the pure elements = -166 meV/atom

First-principles (PBE-GGA) data for crystalline Nd3SmHg at its relaxed geometry, as listed in Alexandria.

abc: 30.279 3.754 5.699
angles: 90.00 90.14 90.00
Space group C2/m (No. 12)
Asymmetric unit:
1 Nd 0.048 0.000 0.241 x4
2 Nd 0.128 0.000 0.747 x4
3 Nd 0.160 0.500 0.249 x4
4 Sm 0.233 0.500 0.749 x4
5 Hg 0.041 0.500 0.737 x4

Computed properties:
Energy relative to the lowest polymorph listed for this composition = 0 meV/atom
N(E_F) = 1.25 states/eV/atom
Energy of formation from the pure elements = -173 meV/atom

First-principles (PBE-GGA) data for crystalline NdSm2Hg at its relaxed geometry, as listed in Alexandria.

abc: 3.715 3.715 8.964
angles: 90.00 90.00 90.00
Space group P4/mmm (No. 123)
Asymmetric unit:
1 Nd 0.000 0.000 0.000 x1
2 Sm 0.500 0.500 0.281 x2
3 Hg 0.000 0.000 0.500 x1

Computed properties:
Energy relative to the lowest polymorph listed for this composition = 0 meV/atom
N(E_F) = 1.23 states/eV/atom
Energy of formation from the pure elements = -231 meV/atom

First-principles (PBE-GGA) data for crystalline Nd2SmHg at its relaxed geometry, as listed in Alexandria.

abc: 5.688 5.688 3.768
angles: 90.00 90.00 90.00
Space group P4/mmm (No. 123)
Asymmetric unit:
1 Nd 0.000 0.500 0.000 x2
2 Sm 0.000 0.000 0.500 x1
3 Hg 0.500 0.500 0.500 x1

Computed properties:
Energy relative to the lowest polymorph listed for this composition = 81 meV/atom
N(E_F) = 1.49 states/eV/atom
Energy of formation from the pure elements = -144 meV/atom

N(E_F) of number 1 (NdYSiHg)? 0.81 states/eV/atom

Among the records above, which one has the lowest N(E_F)? NdYSiHg

N(E_F) of number 5 (NdSm2Hg)? 1.23 states/eV/atom

Which of these has the lowest N(E_F)? NdYSiHg